No. 1
Crystalline Rb2TmCdBr6 at its relaxed geometry. Source: Alexandria, functional PBE.

abc: 8.017 8.441 11.576
angles: 90.00 90.00 90.00
Fractional coordinates of all 20 atoms:
1 Tm 0.000 0.771 0.000
2 Cd 0.500 0.278 0.000
3 Br 0.259 0.992 0.500
4 Br 0.248 0.451 0.500
5 Br 0.000 0.778 0.239
6 Rb 0.000 0.208 0.722
7 Br 0.500 0.222 0.739
8 Rb 0.500 0.792 0.778
9 Br 0.241 0.008 0.000
10 Br 0.759 0.008 0.000
11 Tm 0.500 0.229 0.500
12 Br 0.252 0.549 0.000
13 Br 0.500 0.222 0.261
14 Rb 0.000 0.208 0.278
15 Br 0.000 0.778 0.761
16 Br 0.741 0.992 0.500
17 Rb 0.500 0.792 0.222
18 Cd 0.000 0.722 0.500
19 Br 0.752 0.451 0.500
20 Br 0.748 0.549 0.000

Output
ΔE_f (raw)	-1.49	eV/atom



No. 2
Crystalline Ba3Cd8Hg3 at its relaxed geometry. Source: Alexandria, functional PBE.

abc: 5.199 9.516 9.516
angles: 66.21 74.15 74.15
Fractional coordinates of all 14 atoms:
1 Cd 0.364 0.352 0.919
2 Cd 0.831 0.529 0.810
3 Ba 0.192 0.808 0.808
4 Cd 0.636 0.648 0.081
5 Cd 0.364 0.919 0.352
6 Hg 0.000 0.214 0.786
7 Cd 0.169 0.471 0.190
8 Hg 0.500 0.000 0.000
9 Ba 0.808 0.192 0.192
10 Cd 0.831 0.810 0.529
11 Ba 0.500 0.500 0.500
12 Hg 0.000 0.786 0.214
13 Cd 0.636 0.081 0.648
14 Cd 0.169 0.190 0.471

Output
formation enthalpy at 0 K	-0.29	eV/atom



No. 3
Crystalline Na2HgGe at its relaxed geometry. Source: Alexandria, functional PBE.

abc: 6.120 11.532 6.937
angles: 123.97 90.00 90.00
Fractional coordinates of all 16 atoms:
1 Hg 0.836 0.345 0.714
2 Na 0.409 0.850 0.176
3 Ge 0.611 0.384 0.392
4 Na 0.591 0.150 0.824
5 Na 0.321 0.426 0.787
6 Na 0.679 0.574 0.213
7 Na 0.910 0.650 0.824
8 Hg 0.164 0.655 0.286
9 Hg 0.336 0.155 0.286
10 Ge 0.889 0.884 0.392
11 Na 0.090 0.350 0.176
12 Ge 0.111 0.116 0.608
13 Ge 0.389 0.616 0.608
14 Na 0.179 0.926 0.786
15 Hg 0.664 0.845 0.714
16 Na 0.821 0.074 0.214

Output
formation enthalpy at 0 K	-0.13	eV/atom



No. 4
Crystalline Y3PuSb4 at its relaxed geometry. Source: Alexandria, functional PBE.

abc: 4.408 7.616 7.616
angles: 109.46 90.00 90.00
Fractional coordinates of all 8 atoms:
1 Sb 0.500 0.750 0.250
2 Sb 0.500 0.250 0.750
3 Pu 0.500 0.000 0.000
4 Sb 0.000 0.750 0.750
5 Y 0.000 0.000 0.500
6 Y 0.500 0.500 0.500
7 Sb 0.000 0.250 0.250
8 Y 0.000 0.500 0.000

Output
ΔE_f (raw)	-1.02	eV/atom



No. 5
Crystalline Cs3PaS6 at its relaxed geometry. Source: Alexandria, functional PBE.

abc: 8.421 8.421 8.421
angles: 60.00 60.00 60.00
Fractional coordinates of all 10 atoms:
1 S 0.783 0.783 0.217
2 S 0.217 0.783 0.783
3 Cs 0.250 0.250 0.250
4 Pa 0.000 0.000 0.000
5 S 0.217 0.783 0.217
6 S 0.783 0.217 0.217
7 Cs 0.500 0.500 0.500
8 Cs 0.750 0.750 0.750
9 S 0.783 0.217 0.783
10 S 0.217 0.217 0.783

Output
ΔE_f (raw)	-0.78	eV/atom



No. 6
Crystalline LiTeRh at its relaxed geometry. Source: Alexandria, functional PBE.

abc: 4.756 4.756 4.756
angles: 136.35 136.24 63.53
Fractional coordinates of all 3 atoms:
1 Li 0.000 0.000 0.000
2 Te 0.678 0.678 0.000
3 Rh 0.322 0.322 0.000

Output
ΔE_f (raw)	-0.42	eV/atom



No. 7
Crystalline NdTeF at its relaxed geometry. Source: Alexandria, functional PBE.

abc: 3.610 3.610 5.947
angles: 107.67 107.67 90.00
Fractional coordinates of all 3 atoms:
1 Nd 0.706 0.706 0.412
2 F 0.282 0.282 0.564
3 Te 0.012 0.012 0.024

Output
ΔE_f (raw)	-2.08	eV/atom



No. 8
Crystalline NaGePO5 at its relaxed geometry. Source: Alexandria, functional PBE.

abc: 5.391 5.391 6.726
angles: 104.54 104.54 104.52
Fractional coordinates of all 16 atoms:
1 O 0.244 0.391 0.591
2 Na 0.666 0.334 0.750
3 Na 0.334 0.666 0.250
4 O 0.886 0.310 0.121
5 Ge 0.000 0.000 0.000
6 O 0.074 0.926 0.250
7 O 0.310 0.886 0.621
8 P 0.683 0.317 0.250
9 O 0.926 0.074 0.750
10 O 0.609 0.756 0.909
11 P 0.317 0.683 0.750
12 O 0.756 0.609 0.409
13 Ge 0.000 0.000 0.500
14 O 0.114 0.690 0.879
15 O 0.690 0.114 0.379
16 O 0.391 0.244 0.091

Output
ΔE_f (raw)	-1.98	eV/atom



Number 1: V 783 Å³/cell. Number 2: V 407 Å³/cell. Number 3: V 406 Å³/cell. Number 4: V 241 Å³/cell. Number 5: V 422 Å³/cell. Number 6: V 51 Å³/cell. Number 7: V 70 Å³/cell. Number 8: V 173 Å³/cell.